Here is a relaxed KCoTc2 crystal from the Alexandria database. Energies are from GGA-PBE.

```
4
Lattice="2.627 0.000 0.000 0.000 3.475 0.000 -0.064 0.000 8.417" Properties=species:S:1:pos:R:3 pbc="T T T"
K 0.000 0.000 0.000
Co -0.032 0.000 4.208
Tc 1.284 1.738 2.925
Tc 1.280 1.738 5.491
```

Here is a relaxed KCoTc4 crystal from the Alexandria database. Energies are from GGA-PBE.

```
6
Lattice="0.000 3.713 3.713 3.713 0.000 3.713 3.713 3.713 0.000" Properties=species:S:1:pos:R:3 pbc="T T T"
K 0.000 0.000 0.000
Co 1.857 1.857 1.857
Tc 4.639 2.787 2.787
Tc 2.787 4.639 2.787
Tc 2.787 2.787 4.639
Tc 4.639 4.639 4.639
```

Here is a relaxed KCoTc2 crystal from the Alexandria database. Energies are from GGA-PBE.

```
4
Lattice="0.000 3.178 3.178 3.178 0.000 3.178 3.178 3.178 0.000" Properties=species:S:1:pos:R:3 pbc="T T T"
K 0.000 0.000 0.000
Co 4.767 4.767 4.767
Tc 1.589 1.589 1.589
Tc 3.178 3.178 3.178
```

no.,energy of formation from the pure elements (eV/f.u.)
1,3.3
2,6.7
3,5.5